# 1
Crystalline Rb2TcS4 at its relaxed geometry. Source: Alexandria, functional PBE-GGA.

a = 4.703 Å, b = 4.703 Å, c = 16.971 Å
α = 90.00°, β = 90.00°, γ = 90.00°
Space group I4/mmm (No. 139)
Symmetry-distinct sites (fractional):
Rb 0.000 0.000 0.153
Tc 0.000 0.000 0.500
S 0.000 0.000 0.357
S 0.000 0.500 0.000

ΔE to the lowest computed polymorph   0.320 eV per atom
Total moment   1.3 μB per cell


# 2
Crystalline Rb2TcS at its relaxed geometry. Source: Alexandria, functional PBE-GGA.

a = 12.840 Å, b = 12.840 Å, c = 4.493 Å
α = 90.00°, β = 90.00°, γ = 90.00°
Space group I-42d (No. 122)
Symmetry-distinct sites (fractional):
Rb 0.046 0.750 0.125
Tc 0.000 0.000 0.500
S 0.000 0.000 0.000

Total moment   6.3 μB per cell


# 3
Crystalline Rb2TcS4 at its relaxed geometry. Source: Alexandria, functional PBE-GGA.

a = 7.141 Å, b = 6.942 Å, c = 9.826 Å
α = 90.00°, β = 107.80°, γ = 90.00°
Space group P2_1/m (No. 11)
Symmetry-distinct sites (fractional):
Rb 0.188 0.250 0.423
Rb 0.282 0.250 0.969
Tc 0.317 0.750 0.224
S 0.097 0.750 0.338
S 0.179 0.750 0.992
S 0.495 0.503 0.717

ΔE to the lowest computed polymorph   0.000 eV per atom
Total moment   2.1 μB per cell


# 4
Crystalline Rb2TcS3 at its relaxed geometry. Source: Alexandria, functional PBE-GGA.

a = 7.021 Å, b = 13.892 Å, c = 15.802 Å
α = 90.00°, β = 90.00°, γ = 90.00°
Space group Cmce (No. 64)
Symmetry-distinct sites (fractional):
Rb 0.000 0.062 0.146
Rb 0.000 0.142 0.570
Tc 0.000 0.248 0.330
S 0.000 0.089 0.359
S 0.000 0.159 0.946
S 0.250 0.218 0.750

Total moment   7.7 μB per cell


# 5
Crystalline Rb2TlTcS4 at its relaxed geometry. Source: Alexandria, functional PBE-GGA.

a = 8.054 Å, b = 8.054 Å, c = 8.405 Å
α = 90.00°, β = 90.00°, γ = 90.00°
Space group I-4 (No. 82)
Symmetry-distinct sites (fractional):
Rb 0.000 0.000 0.000
Rb 0.000 0.500 0.250
Tl 0.000 0.000 0.500
Tc 0.000 0.500 0.750
S 0.149 0.324 0.604

Total moment   3.8 μB per cell


# 6
Crystalline RbUTcS3 at its relaxed geometry. Source: Alexandria, functional PBE-GGA.

a = 9.174 Å, b = 3.830 Å, c = 9.611 Å
α = 90.00°, β = 113.29°, γ = 90.00°
Space group P2_1/m (No. 11)
Symmetry-distinct sites (fractional):
Rb 0.207 0.250 0.234
U 0.321 0.750 0.837
Tc 0.085 0.250 0.592
S 0.122 0.250 0.854
S 0.198 0.750 0.522
S 0.460 0.750 0.146

Total moment   3.5 μB per cell


# 7
Crystalline Rb2YTcS at its relaxed geometry. Source: Alexandria, functional PBE-GGA.

a = 6.308 Å, b = 6.308 Å, c = 4.448 Å
α = 90.00°, β = 90.00°, γ = 90.00°
Space group P4/mmm (No. 123)
Symmetry-distinct sites (fractional):
Rb 0.000 0.500 0.000
Y 0.000 0.000 0.500
Tc 0.500 0.500 0.500
S 0.500 0.500 0.000

Total moment   0.5 μB per cell


# 8
Crystalline Rb2TeS3 at its relaxed geometry. Source: Alexandria, functional PBE-GGA.

a = 5.084 Å, b = 22.369 Å, c = 7.351 Å
α = 90.00°, β = 90.00°, γ = 90.00°
Space group Cmcm (No. 63)
Symmetry-distinct sites (fractional):
Rb 0.000 0.028 0.250
Rb 0.000 0.170 0.750
Te 0.000 0.344 0.750
S 0.000 0.186 0.250
S 0.000 0.409 0.005

ΔE to the lowest computed polymorph   0.000 eV per atom
Total moment   0.0 μB per cell


# 9
Crystalline Rb2TeS3 at its relaxed geometry. Source: Alexandria, functional PBE-GGA.

a = 12.889 Å, b = 6.569 Å, c = 11.421 Å
α = 90.00°, β = 122.28°, γ = 90.00°
Space group C2/c (No. 15)
Symmetry-distinct sites (fractional):
Rb 0.180 0.160 0.105
Te 0.000 0.391 0.250
S 0.000 0.242 0.750
S 0.187 0.324 0.518

ΔE to the lowest computed polymorph   0.022 eV per atom
Total moment   0.0 μB per cell


# 10
Crystalline Rb2TeS2 at its relaxed geometry. Source: Alexandria, functional PBE-GGA.

a = 5.167 Å, b = 20.203 Å, c = 6.865 Å
α = 90.00°, β = 90.00°, γ = 90.00°
Space group Cmc2_1 (No. 36)
Symmetry-distinct sites (fractional):
Rb 0.000 0.016 0.000
Rb 0.000 0.200 0.767
Te 0.000 0.380 0.844
S 0.000 0.152 0.297
S 0.000 0.411 0.188

ΔE to the lowest computed polymorph   0.000 eV per atom
Total moment   0.0 μB per cell


Record-wise calculated total energy values, in eV for the cell shown: -63.8; -63.4; -68.3; -234.5; -72.9; -82.7; -19.8; -85.7; -85.2; -67.7